#w
! PBE-GGA Dy2TeRh, optimized geometry; values from VASP
! **DOS at the Fermi energy**: 2.27 states/eV per cell
! **Space group**: R3m (160)
&SYSTEM
  ibrav = 0, nat = 4, ntyp = 3
/
ATOMIC_SPECIES
Dy 162.50 Dy.upf
Te 127.60 Te.upf
Rh 102.91 Rh.upf
ATOMIC_POSITIONS angstrom
Dy -1.537 5.815 1.535
Dy -2.140 1.787 0.358
Te -4.192 4.154 0.886
Rh -4.699 0.769 -0.103
CELL_PARAMETERS angstrom
-3.393 1.111 -2.065
-3.663 -0.006 1.897
-1.323 7.245 1.952

---

#x
! PBE-GGA Dy2TeRh, optimized geometry; values from VASP
! **DOS at the Fermi energy**: 2.06 states/eV per cell
! **Space group**: P4/mmm (123)
&SYSTEM
  ibrav = 0, nat = 4, ntyp = 3
/
ATOMIC_SPECIES
Te 127.60 Te.upf
Rh 102.91 Rh.upf
Dy 162.50 Dy.upf
ATOMIC_POSITIONS angstrom
Te 1.809 1.809 3.645
Rh 1.809 1.809 0.000
Dy 0.000 0.000 5.656
Dy 0.000 0.000 1.635
CELL_PARAMETERS angstrom
3.618 0.000 0.000
0.000 3.618 0.000
0.000 0.000 7.290

---

Which one sits at the top of the stability order? #w does.